{"formula": "Ti6N5", "functional": "GGA-PBE", "state": "relaxed", "lattice": [[2.6052, -4.5038, 0.0000], [2.6052, 4.5038, 0.0000], [-1.7427, 0.0000, 4.9080]], "species": ["Ti", "Ti", "Ti", "Ti", "Ti", "Ti", "N", "N", "N", "N", "N"], "frac_coords": [[0.0662, 0.4166, 0.7462], [0.2370, 0.2370, 0.2626], [0.4166, 0.0662, 0.7462], [0.5834, 0.9338, 0.2538], [0.7630, 0.7630, 0.7374], [0.9338, 0.5834, 0.2538], [0.0000, 0.0000, 0.5000], [0.1656, 0.8344, 0.0000], [0.3347, 0.6653, 0.5000], [0.6653, 0.3347, 0.5000], [0.8344, 0.1656, 0.0000]], "volume_a3_per_cell": 115, "e_tot_ev_per_cell": -107.31, "density_g_cm3": 5.2, "dos_at_fermi_per_ev_atom": 0.46}

{"formula": "Na4ThSc3Se8", "functional": "GGA-PBE", "state": "relaxed", "lattice": [[4.0165, 2.3189, 7.0208], [-4.0165, 2.3189, 7.0208], [0.0000, -4.6379, 7.0208]], "species": ["Na", "Na", "Na", "Na", "Th", "Sc", "Sc", "Sc", "Se", "Se", "Se", "Se", "Se", "Se", "Se", "Se"], "frac_coords": [[0.0000, 0.0000, 0.0000], [0.0000, 0.5000, 0.5000], [0.5000, 0.0000, 0.5000], [0.5000, 0.5000, 0.0000], [0.5000, 0.5000, 0.5000], [0.0000, 0.0000, 0.5000], [0.0000, 0.5000, 0.0000], [0.5000, 0.0000, 0.0000], [0.2285, 0.7496, 0.7496], [0.2389, 0.2389, 0.2389], [0.2504, 0.2504, 0.7715], [0.2504, 0.7715, 0.2504], [0.7496, 0.2285, 0.7496], [0.7496, 0.7496, 0.2285], [0.7611, 0.7611, 0.7611], [0.7715, 0.2504, 0.2504]], "volume_a3_per_cell": 392, "e_tot_ev_per_cell": -84.46, "density_g_cm3": 4.6, "dos_at_fermi_per_ev_atom": 0.33}

{"formula": "Mg3SiRu", "functional": "GGA-PBE", "state": "relaxed", "lattice": [[4.8748, 0.0000, 0.0000], [0.0000, 4.8748, 0.0000], [0.0000, 0.0000, 4.8748]], "species": ["Mg", "Mg", "Mg", "Si", "Ru"], "frac_coords": [[0.0000, 0.0000, 0.5000], [0.0000, 0.5000, 0.0000], [0.5000, 0.0000, 0.0000], [0.0000, 0.0000, 0.0000], [0.5000, 0.5000, 0.5000]], "volume_a3_per_cell": 116, "density_g_cm3": 2.9, "polymorph_energy_mev_per_atom": 173, "dos_at_fermi_per_ev_atom": 1.05}

{"formula": "Ce3AsP2Rh8", "functional": "GGA-PBE", "state": "relaxed", "lattice": [[5.6734, 0.0000, 0.0000], [-2.8367, 4.9133, 0.0000], [0.0000, 0.0000, 9.1330]], "species": ["Ce", "Ce", "Ce", "As", "P", "P", "Rh", "Rh", "Rh", "Rh", "Rh", "Rh", "Rh", "Rh"], "frac_coords": [[0.0000, 0.0000, 0.0000], [0.3333, 0.6667, 0.7836], [0.6667, 0.3333, 0.2164], [0.0000, 0.0000, 0.5000], [0.3333, 0.6667, 0.4613], [0.6667, 0.3333, 0.5387], [0.1638, 0.3275, 0.2908], [0.1638, 0.8362, 0.2908], [0.3275, 0.1638, 0.7092], [0.3333, 0.6667, 0.0459], [0.6667, 0.3333, 0.9541], [0.6725, 0.8362, 0.2908], [0.8362, 0.1638, 0.7092], [0.8362, 0.6725, 0.7092]], "volume_a3_per_cell": 255, "ef_ev_per_atom": -0.5850, "density_g_cm3": 9.0, "dos_at_fermi_per_ev_atom": 0.86}

{"formula": "Ba2RhF8", "functional": "GGA-PBE", "state": "relaxed", "lattice": [[5.3986, -4.0497, 0.0000], [5.3986, 4.0497, 0.0000], [-1.7165, 0.0000, 4.7053]], "species": ["Ba", "Ba", "Rh", "F", "F", "F", "F", "F", "F", "F", "F"], "frac_coords": [[0.1639, 0.1639, 0.3591], [0.8361, 0.8361, 0.6409], [0.5000, 0.5000, 0.0000], [0.0902, 0.0902, 0.8065], [0.2133, 0.5498, 0.7552], [0.3910, 0.3910, 0.2310], [0.4502, 0.7867, 0.2448], [0.5498, 0.2133, 0.7552], [0.6090, 0.6090, 0.7690], [0.7867, 0.4502, 0.2448], [0.9098, 0.9098, 0.1935]], "volume_a3_per_cell": 206, "e_tot_ev_per_cell": -57.29, "density_g_cm3": 4.3, "dos_at_fermi_per_ev_atom": 0.62}

{"formula": "V4P2S", "functional": "GGA-PBE", "state": "relaxed", "lattice": [[4.1645, 0.0000, 0.0000], [0.0000, 4.1645, 0.0000], [0.0000, 0.0000, 12.4779]], "species": ["V", "V", "V", "V", "V", "V", "V", "V", "P", "P", "P", "P", "S", "S"], "frac_coords": [[0.0000, 0.0000, 0.1815], [0.0000, 0.0000, 0.8185], [0.0000, 0.5000, 0.0000], [0.0000, 0.5000, 0.5000], [0.5000, 0.0000, 0.0000], [0.5000, 0.0000, 0.5000], [0.5000, 0.5000, 0.3185], [0.5000, 0.5000, 0.6815], [0.0000, 0.0000, 0.3685], [0.0000, 0.0000, 0.6315], [0.5000, 0.5000, 0.1315], [0.5000, 0.5000, 0.8685], [0.0000, 0.0000, 0.0000], [0.5000, 0.5000, 0.5000]], "volume_a3_per_cell": 216, "e_tot_ev_per_cell": -103.80, "density_g_cm3": 4.6, "dos_at_fermi_per_ev_atom": 0.68}